[1]
SnS (PBE, optimized geometry); energy = -4.5027 eV per atom; M_tot = 0.0 μB/cell; ΔE_f (raw) = -0.438 eV/atom; space group = No. 62
1.0
-2.8973 2.0683 -1.8493
-3.1800 0.0540 5.0425
3.6985 7.1973 2.2554
Sn S
4 4
Cartesian
-1.3519 4.3182 0.4214
-1.0268 5.0015 5.0272
-2.4774 1.3961 3.2672
0.0986 7.9236 2.1814
-1.8851 7.5572 4.8793
-0.4937 1.7625 0.5693
-2.9560 3.9453 2.5174
0.5772 5.3744 2.9312

---

[2]
CuW2Au (PBE, optimized geometry); energy = -7.9359 eV per atom; M_tot = 0.0 μB/cell; relative energy among the computed polymorphs = 158.0 meV per atom; ΔH_f (0 K) = 0.384 eV/atom; space group = No. 8
1.0
4.7785 -0.0066 -0.0028
4.0198 2.5835 -0.0028
0.5678 0.1663 5.0606
W Au Cu
2 1 1
Cartesian
7.0556 2.0666 3.8495
8.7684 2.5682 0.0065
4.6750 1.3693 2.4482
2.3485 0.6879 1.2729

---

[3]
InCu2Ag (PBE, optimized geometry); energy = -3.3994 eV per atom; M_tot = 0.0 μB/cell; ΔH_f (0 K) = 0.046 eV/atom; space group = No. 44
1.0
5.1244 -0.0469 -0.0530
2.2048 4.6260 0.0530
-3.3096 -2.8577 2.6728
Cu In Ag
2 1 1
Cartesian
2.8701 -0.2260 1.3099
7.2133 4.5068 0.0000
3.7347 2.3334 0.0000
1.1952 1.9760 1.3629

---

[4]
SnSbCI2 (PBE, optimized geometry); energy = -2.4063 eV per atom; M_tot = 3.7 μB/cell; ΔE_f (raw) = 1.684 eV/atom; relative energy among the computed polymorphs = 706.7 meV per atom; space group = No. 123
1.0
6.0455 0.0000 0.0000
0.0000 5.9743 0.0000
0.0000 0.0000 6.0455
I C Sb Sn
2 1 1 1
Cartesian
0.0000 0.0000 3.0227
3.0227 0.0000 0.0000
3.0227 2.9872 3.0227
0.0000 2.9872 0.0000
0.0000 0.0000 0.0000

---

- Which of these has the highest M_tot?
  SnSbCI2

---

- Which of these has the highest M_tot?
  SnSbCI2

---

- energy of number 2 (CuW2Au)?
  -7.9359 eV per atom